# 1
LuCuNi | PBE | relaxed

Summary:
**Magnetic moment**: 0.00 μB/cell
**Space group**: No. 107

Unit cell a=3.3295 b=3.3295 c=4.9431 alpha=109.68 beta=109.68 gamma=90.00
Fractional coordinates of all 3 atoms:
Lu: 0.6125 0.6125 0.2250
Ni: 0.9385 0.9385 0.8771
Cu: 0.2990 0.2990 0.5979

=====

# 2
LuCuNi2 | PBE | relaxed

Summary:
**Magnetic moment**: 0.00 μB/cell
**Space group**: No. 123

Unit cell a=3.6598 b=3.9308 c=3.9308 alpha=90.00 beta=90.00 gamma=90.00
Fractional coordinates of all 4 atoms:
Cu: 0.5000 0.0000 0.0000
Lu: 0.5000 0.5000 0.5000
Ni: 0.0000 0.0000 0.5000
Ni: 0.0000 0.5000 0.0000

=====

# 3
LuCuNi | PBE | relaxed

Summary:
**Magnetic moment**: 0.00 μB/cell
**Space group**: No. 187

Unit cell a=3.4358 b=4.1145 c=4.1145 alpha=120.00 beta=90.00 gamma=90.00
Fractional coordinates of all 3 atoms:
Ni: 0.1668 0.0000 0.0000
Lu: 0.6667 0.3333 0.6667
Cu: 0.1665 0.6667 0.3333

=====

# 4
LuCuNi2 | PBE | relaxed

Summary:
**Magnetic moment**: 0.00 μB/cell
**Space group**: No. 123

Unit cell a=3.2164 b=3.2164 c=5.5907 alpha=90.00 beta=90.00 gamma=90.00
Fractional coordinates of all 4 atoms:
Lu: 0.5000 0.5000 0.5000
Ni: 0.0000 0.0000 0.2185
Cu: 0.5000 0.5000 0.0000
Ni: 0.0000 0.0000 0.7815

=====

The records above give, respectively, formation enthalpy at 0 K values of -0.264 -0.306 -0.345 -0.218 eV per atom.
The records above give, respectively, N(E_F) values of 0.923 0.340 0.533 0.538 states/eV per atom.